CoAs5 | GGA-PBE | relaxed

Output
**Total energy**: -4.816 eV/atom
**Size of the total moment**: 0.00 μB/atom
**E_form**: 23.5 kJ per mole of atoms
**Calculated volume**: 111 Å³ per cell
**Relative energy among the computed polymorphs**: 1.10 eV per formula unit

Unit cell a=6.310 b=6.310 c=3.230 alpha=90.00 beta=90.00 gamma=120.00
Element x y z (fractional)
Co  0.000  0.000  0.000
As  0.000  0.709  0.500
As  0.291  0.291  0.500
As  0.333  0.667  0.000
As  0.667  0.333  0.000
As  0.709  0.000  0.500